[1]
Here is crystalline HfNp2 at its relaxed geometry from Alexandria via LeMat-Bulk. Energies are from PBE.

**Formation energy from the elements**: 351 meV per atom
**VASP energy**: -11.59 eV/atom

Cell: 5.557 5.557 5.557 Å, 60.00 60.00 60.00°
Fractional positions:
1 Hf 0.125 0.125 0.125
2 Hf 0.875 0.875 0.875
3 Np 0.000 0.500 0.500
4 Np 0.500 0.000 0.500
5 Np 0.500 0.500 0.000
6 Np 0.500 0.500 0.500

---

[2]
Here is crystalline HfNp4 at its relaxed geometry from Alexandria via LeMat-Bulk. Energies are from PBE.

**Formation energy from the elements**: 1664 meV per atom
**VASP energy**: -10.68 eV/atom

Cell: 5.370 5.370 5.370 Å, 90.00 90.00 90.00°
Fractional positions:
1 Hf 0.000 0.000 0.000
2 Np 0.000 0.000 0.500
3 Np 0.000 0.500 0.000
4 Np 0.500 0.000 0.000
5 Np 0.500 0.500 0.500

---

[3]
Here is crystalline HfNp3 at its relaxed geometry from Alexandria via LeMat-Bulk. Energies are from PBE.

**Formation energy from the elements**: 557 meV per atom
**VASP energy**: -11.64 eV/atom

Cell: 5.359 5.359 5.359 Å, 130.69 130.69 72.31°
Fractional positions:
1 Hf 0.000 0.000 0.000
2 Np 0.250 0.750 0.500
3 Np 0.500 0.500 0.000
4 Np 0.750 0.250 0.500

---

[4]
Here is crystalline Hf5Np at its relaxed geometry from Alexandria via LeMat-Bulk. Energies are from PBE.

**Formation energy from the elements**: 236 meV per atom
**VASP energy**: -10.22 eV/atom

Cell: 8.330 8.330 3.176 Å, 90.00 90.00 143.14°
Fractional positions:
1 Hf 0.000 0.000 0.000
2 Hf 0.174 0.826 0.500
3 Hf 0.345 0.655 0.000
4 Hf 0.655 0.345 0.000
5 Hf 0.826 0.174 0.500
6 Np 0.500 0.500 0.500

---

[5]
Here is crystalline HfNp at its relaxed geometry from Alexandria via LeMat-Bulk. Energies are from PBE.

**Formation energy from the elements**: 204 meV per atom
**VASP energy**: -11.24 eV/atom

Cell: 5.055 3.407 5.142 Å, 90.00 101.05 90.00°
Fractional positions:
1 Hf 0.243 0.250 0.454
2 Hf 0.757 0.750 0.546
3 Np 0.329 0.750 0.976
4 Np 0.671 0.250 0.024

---

[6]
Here is crystalline HfNpO6 at its relaxed geometry from Alexandria via LeMat-Bulk. Energies are from PBE.

**VASP energy**: -9.13 eV/atom
**Energy relative to the elements, uncorrected**: -2.55 eV/atom

Cell: 5.764 5.764 5.764 Å, 59.96 59.96 59.96°
Fractional positions:
1 Hf 0.000 0.000 0.000
2 Np 0.500 0.500 0.500
3 O 0.252 0.256 0.747
4 O 0.253 0.748 0.744
5 O 0.256 0.747 0.252
6 O 0.744 0.253 0.748
7 O 0.747 0.252 0.256
8 O 0.748 0.744 0.253

---

[7]
Here is crystalline Hf2NpO8 at its relaxed geometry from Alexandria via LeMat-Bulk. Energies are from PBE.

**VASP energy**: -9.29 eV/atom
**Energy relative to the elements, uncorrected**: -2.70 eV/atom

Cell: 6.068 6.068 4.191 Å, 92.29 92.29 71.64°
Fractional positions:
1 Hf 0.126 0.126 0.267
2 Hf 0.874 0.874 0.733
3 Np 0.500 0.500 0.000
4 O 0.091 0.091 0.755
5 O 0.189 0.608 0.774
6 O 0.334 0.334 0.269
7 O 0.392 0.811 0.226
8 O 0.608 0.189 0.774
9 O 0.666 0.666 0.731
10 O 0.811 0.392 0.226
11 O 0.909 0.909 0.245

---

[8]
Here is crystalline HfNp2O11 at its relaxed geometry from Alexandria via LeMat-Bulk. Energies are from PBE.

**VASP energy**: -8.47 eV/atom
**Energy relative to the elements, uncorrected**: -2.01 eV/atom

Cell: 8.066 8.066 8.066 Å, 118.83 107.96 102.09°
Fractional positions:
1 Hf 0.250 0.250 0.000
2 Hf 0.750 0.750 0.000
3 Np 0.210 0.692 0.901
4 Np 0.290 0.192 0.482
5 Np 0.710 0.808 0.518
6 Np 0.790 0.308 0.099
7 O 0.000 0.500 0.500
8 O 0.030 0.972 0.273
9 O 0.038 0.339 0.110
10 O 0.161 0.415 0.576
11 O 0.199 0.472 0.941
12 O 0.229 0.928 0.890
13 O 0.271 0.161 0.699
14 O 0.301 0.242 0.273
15 O 0.339 0.915 0.254
16 O 0.462 0.572 0.301
17 O 0.470 0.742 0.941
18 O 0.500 0.000 0.500
19 O 0.530 0.258 0.059
20 O 0.538 0.428 0.699
21 O 0.661 0.085 0.746
22 O 0.699 0.758 0.727
23 O 0.729 0.839 0.301
24 O 0.771 0.072 0.110
25 O 0.801 0.528 0.059
26 O 0.839 0.585 0.424
27 O 0.962 0.661 0.890
28 O 0.970 0.028 0.727

---

[9]
Here is crystalline Hf2NpPbO8 at its relaxed geometry from Alexandria via LeMat-Bulk. Energies are from PBE.

**VASP energy**: -9.13 eV/atom
**Energy relative to the elements, uncorrected**: -2.78 eV/atom

Cell: 5.080 5.080 6.755 Å, 90.00 90.00 91.16°
Fractional positions:
1 Hf 0.000 0.000 0.246
2 Hf 0.000 0.000 0.754
3 Np 0.500 0.500 0.500
4 Pb 0.500 0.500 0.000
5 O 0.169 0.831 0.000
6 O 0.196 0.804 0.500
7 O 0.293 0.293 0.290
8 O 0.293 0.293 0.710
9 O 0.707 0.707 0.290
10 O 0.707 0.707 0.710
11 O 0.804 0.196 0.500
12 O 0.831 0.169 0.000

---

[10]
Here is crystalline HfNpPbO6 at its relaxed geometry from Alexandria via LeMat-Bulk. Energies are from PBE.

**VASP energy**: -8.92 eV/atom
**Energy relative to the elements, uncorrected**: -2.66 eV/atom

Cell: 5.645 5.645 10.519 Å, 90.00 90.00 120.00°
Fractional positions:
1 Hf 0.333 0.667 0.250
2 Hf 0.667 0.333 0.750
3 Np 0.333 0.667 0.750
4 Np 0.667 0.333 0.250
5 Pb 0.000 0.000 0.000
6 Pb 0.000 0.000 0.500
7 O 0.002 0.373 0.646
8 O 0.002 0.629 0.854
9 O 0.371 0.373 0.854
10 O 0.371 0.998 0.646
11 O 0.373 0.002 0.146
12 O 0.373 0.371 0.354
13 O 0.627 0.629 0.646
14 O 0.627 0.998 0.854
15 O 0.629 0.002 0.354
16 O 0.629 0.627 0.146
17 O 0.998 0.371 0.146
18 O 0.998 0.627 0.354

---

[11]
Here is crystalline HfNpPb2O6 at its relaxed geometry from Alexandria via LeMat-Bulk. Energies are from PBE.

**VASP energy**: -8.37 eV/atom
**Energy relative to the elements, uncorrected**: -2.36 eV/atom

Cell: 5.932 5.932 6.091 Å, 120.01 120.01 60.86°
Fractional positions:
1 Hf 0.000 0.000 0.000
2 Np 0.500 0.500 0.500
3 Pb 0.253 0.253 0.781
4 Pb 0.747 0.747 0.219
5 O 0.192 0.703 0.187
6 O 0.244 0.244 0.325
7 O 0.297 0.808 0.813
8 O 0.703 0.192 0.187
9 O 0.756 0.756 0.675
10 O 0.808 0.297 0.813

---

[12]
Here is crystalline HfNpPdO6 at its relaxed geometry from Alexandria via LeMat-Bulk. Energies are from PBE.

**VASP energy**: -8.70 eV/atom
**Energy relative to the elements, uncorrected**: -2.27 eV/atom

Cell: 5.563 5.563 9.141 Å, 90.00 90.00 120.00°
Fractional positions:
1 Hf 0.333 0.667 0.250
2 Hf 0.667 0.333 0.750
3 Np 0.333 0.667 0.750
4 Np 0.667 0.333 0.250
5 Pd 0.000 0.000 0.000
6 Pd 0.000 0.000 0.500
7 O 0.003 0.357 0.635
8 O 0.003 0.646 0.865
9 O 0.354 0.357 0.865
10 O 0.354 0.997 0.635
11 O 0.357 0.003 0.135
12 O 0.357 0.354 0.365
13 O 0.643 0.646 0.635
14 O 0.643 0.997 0.865
15 O 0.646 0.003 0.365
16 O 0.646 0.643 0.135
17 O 0.997 0.354 0.135
18 O 0.997 0.643 0.365